Entry from the Alexandria database: a relaxed structure of Tc2Rh (GGA-PBE).

## Properties
* density: 11.5 g/cm3
* formation energy: -20 meV/atom
* DOS at the Fermi energy: 3.13 states/eV/f.u.

a b c (Å): 2.7299 2.7299 6.7128
angles (deg): 90.00 90.00 120.00
Fractional coordinates of all 3 atoms:
Tc 0.3333 0.6667 0.3388
Tc 0.6667 0.3333 0.6612
Rh 0.0000 0.0000 0.0000